CdRuBr2 after structural relaxation, computed with GGA-PBEsol.

Results
E_form (uncorrected): 0.39 eV per atom
E above lowest polymorph: 0.280 eV per atom

a b c (Å): 3.273 6.171 9.233
angles (deg): 90.00 90.00 90.00
Space group Imm2 (No. 44)
One atom of each set of equivalent atoms:
Cd  0.000  0.000  0.000 x2
Ru  0.000  0.500  0.258 x2
Br  0.000  0.000  0.567 x2
Br  0.000  0.500  0.746 x2


SrHgOs2 after structural relaxation, computed with GGA-PBEsol.

Results
Energy relative to the elements: 1.110 eV/atom

a b c (Å): 5.985 9.282 2.666
angles (deg): 90.00 90.00 90.00
Space group Cmmm (No. 65)
One atom of each set of equivalent atoms:
Sr  0.000  0.000  0.000 x2
Hg  0.000  0.500  0.000 x2
Os  0.250  0.250  0.500 x4


ScTc2Rh after structural relaxation, computed with GGA-PBEsol.

Results
E above lowest polymorph: 0.036 eV per atom
Energy relative to the elements: -0.075 eV/atom

a b c (Å): 5.158 8.955 2.709
angles (deg): 90.00 108.52 90.00
Space group C2/m (No. 12)
One atom of each set of equivalent atoms:
Sc  0.000  0.000  0.000 x2
Tc  0.250  0.250  0.500 x4
Rh  0.000  0.500  0.000 x2


MoRuS3 after structural relaxation, computed with GGA-PBEsol.

Results
E_form (uncorrected): 0.78 eV per atom

a b c (Å): 4.582 4.582 4.582
angles (deg): 90.00 90.00 90.00
Space group Pm-3m (No. 221)
One atom of each set of equivalent atoms:
Mo  0.000  0.000  0.000 x1
Ru  0.500  0.500  0.500 x1
S  0.000  0.000  0.500 x3


KP2W after structural relaxation, computed with GGA-PBEsol.

Results
Energy relative to the elements: -0.219 eV/atom

a b c (Å): 3.3313 3.3313 24.0484
angles (deg): 90.00 90.00 120.00
Space group R-3m (No. 166, hexagonal axes)
One atom of each set of equivalent atoms:
K  0.0000  0.0000  0.0000 x3
P  0.0000  0.0000  0.2306 x6
W  0.0000  0.0000  0.5000 x3


BaHfAg3 after structural relaxation, computed with GGA-PBEsol.

Results
Energy relative to the elements: 0.463 eV/atom

a b c (Å): 5.259 5.259 5.259
angles (deg): 90.00 90.00 90.00
Space group Pm-3m (No. 221)
One atom of each set of equivalent atoms:
Ba  0.000  0.000  0.000 x1
Hf  0.500  0.500  0.500 x1
Ag  0.000  0.500  0.500 x3


RuAuS2N after structural relaxation, computed with GGA-PBEsol.

Results
E_form (uncorrected): 0.57 eV per atom

a b c (Å): 4.727 4.727 3.582
angles (deg): 90.00 90.00 90.00
Space group P4/mmm (No. 123)
One atom of each set of equivalent atoms:
Ru  0.000  0.000  0.000 x1
Au  0.500  0.500  0.500 x1
S  0.000  0.500  0.000 x2
N  0.000  0.000  0.500 x1


CeMg after structural relaxation, computed with GGA-PBEsol.

Results
Energy relative to the elements: 0.017 eV/atom

a b c (Å): 13.491 3.068 6.962
angles (deg): 90.00 102.13 90.00
Space group C2/m (No. 12)
One atom of each set of equivalent atoms:
Ce  0.000  0.000  0.000 x2
Ce  0.168  0.500  0.875 x4
Mg  0.000  0.000  0.500 x2
Mg  0.168  0.500  0.357 x4


TaCo2Ag after structural relaxation, computed with GGA-PBEsol.

Results
E above lowest polymorph: 0.000 eV per atom
Energy relative to the elements: 0.005 eV/atom

a b c (Å): 3.054 3.054 5.776
angles (deg): 90.00 90.00 90.00
Space group P4/mmm (No. 123)
One atom of each set of equivalent atoms:
Ta  0.000  0.000  0.000 x1
Co  0.500  0.500  0.228 x2
Ag  0.000  0.000  0.500 x1


Ce2Mn3Cu9As7 after structural relaxation, computed with GGA-PBEsol.

Results
Energy relative to the elements: -0.284 eV/atom

a b c (Å): 9.6836 9.6836 3.9070
angles (deg): 90.00 90.00 120.00
Space group P-6 (No. 174)
One atom of each set of equivalent atoms:
Ce  0.0000  0.0000  0.0000 x1
Ce  0.3333  0.6667  0.5000 x1
Mn  0.5397  0.1200  0.5000 x3
Cu  0.0397  0.7477  0.5000 x3
Cu  0.0912  0.3791  0.0000 x3
Cu  0.3853  0.2124  0.0000 x3
As  0.0816  0.6223  0.0000 x3
As  0.2471  0.0334  0.5000 x3
As  0.6667  0.3333  0.0000 x1


Ho5Mg after structural relaxation, computed with GGA-PBEsol.

Results
E above lowest polymorph: 0.007 eV per atom
Energy relative to the elements: 0.021 eV/atom

a b c (Å): 5.483 3.482 17.875
angles (deg): 90.00 90.00 90.00
Space group Amm2 (No. 38)
One atom of each set of equivalent atoms:
Ho  0.000  0.000  0.000 x2
Ho  0.000  0.000  0.331 x2
Ho  0.000  0.000  0.663 x2
Ho  0.500  0.000  0.216 x2
Ho  0.500  0.000  0.883 x2
Mg  0.500  0.000  0.552 x2


CaYCrAu2 after structural relaxation, computed with GGA-PBEsol.

Results
Energy relative to the elements: 1.167 eV/atom

a b c (Å): 5.028 5.028 5.388
angles (deg): 90.00 90.00 90.00
Space group P4/mmm (No. 123)
One atom of each set of equivalent atoms:
Ca  0.000  0.000  0.000 x1
Y  0.000  0.000  0.500 x1
Cr  0.500  0.500  0.500 x1
Au  0.000  0.500  0.000 x2


Number 1: E -3.391 eV/atom. Number 2: E -5.600 eV/atom. Number 3: E -9.394 eV/atom. Number 4: E -6.235 eV/atom. Number 5: E -6.850 eV/atom. Number 6: E -4.054 eV/atom. Number 7: E -5.712 eV/atom. Number 8: E -4.140 eV/atom. Number 9: E -7.829 eV/atom. Number 10: E -5.866 eV/atom. Number 11: E -4.390 eV/atom. Number 12: E -4.242 eV/atom.